Computed, not measured: crystalline RbAl2Ge2 at its relaxed geometry at the PBE level of DFT.

For the polymorph energy (0 for the lowest one), the calculation gives 0 meV per atom. The value obtained for the raw total energy is -3.67 eV per atom. For the size of the total moment, the calculation gives 0.0 μB/f.u. For the volume, the calculation gives 130.8 Å³ per cell. The value obtained for the mass density is 3.614 g/cm³. For the formation energy from the elements, the calculation gives -0.137 eV/atom.

Unit cell a=8.661 b=8.661 c=8.661 alpha=153.31 beta=153.31 gamma=38.10
Fractional positions:
Rb 0.000 0.000 0.000
Al 0.250 0.750 0.500
Al 0.750 0.250 0.500
Ge 0.356 0.356 0.000
Ge 0.644 0.644 0.000


Computed, not measured: crystalline Cs2InPt at its relaxed geometry at the PBE level of DFT.

The value obtained for the raw total energy is -2.29 eV per atom. For the size of the total moment, the calculation gives 0.0 μB/f.u. For the volume, the calculation gives 153.9 Å³ per cell. The value obtained for the mass density is 6.211 g/cm³. For the formation energy from the elements, the calculation gives 0.335 eV/atom.

Unit cell a=6.015 b=6.015 c=6.015 alpha=60.00 beta=60.00 gamma=60.00
Fractional positions:
Cs 0.250 0.250 0.250
Cs 0.750 0.750 0.750
In 0.000 0.000 0.000
Pt 0.500 0.500 0.500


Computed, not measured: crystalline Dy2CoGe3Pt4 at its relaxed geometry at the PBE level of DFT.

The value obtained for the raw total energy is -6.22 eV per atom. For the size of the total moment, the calculation gives 1.9 μB/f.u. For the volume, the calculation gives 182.9 Å³ per cell. The value obtained for the mass density is 12.546 g/cm³. For the formation energy from the elements, the calculation gives -0.783 eV/atom.

Unit cell a=4.204 b=4.204 c=10.351 alpha=90.00 beta=90.00 gamma=90.00
Fractional positions:
Dy 0.000 0.500 0.243
Dy 0.500 0.000 0.757
Co 0.500 0.500 0.000
Ge 0.000 0.000 0.000
Ge 0.000 0.500 0.637
Ge 0.500 0.000 0.363
Pt 0.000 0.000 0.500
Pt 0.000 0.500 0.869
Pt 0.500 0.000 0.131
Pt 0.500 0.500 0.500


Computed, not measured: crystalline K3Nd2YSe6 at its relaxed geometry at the PBE level of DFT.

The value obtained for the raw total energy is -5.11 eV per atom. For the size of the total moment, the calculation gives 0.0 μB/f.u. For the volume, the calculation gives 371.0 Å³ per cell. As for the formation energy from raw total energies: -1.758 eV/atom. The value obtained for the mass density is 4.334 g/cm³.

Unit cell a=7.458 b=7.458 c=8.094 alpha=98.84 beta=98.84 gamma=120.00
Fractional positions:
K 0.000 0.000 0.000
K 0.332 0.668 0.000
K 0.668 0.332 0.000
Nd 0.167 0.833 0.500
Nd 0.833 0.167 0.500
Y 0.500 0.500 0.500
Se 0.104 0.430 0.291
Se 0.244 0.244 0.709
Se 0.430 0.104 0.291
Se 0.570 0.896 0.709
Se 0.756 0.756 0.291
Se 0.896 0.570 0.709


Computed, not measured: crystalline Tb3PmHo2Tm6 at its relaxed geometry at the PBE level of DFT.

The value obtained for the raw total energy is -4.53 eV per atom. For the size of the total moment, the calculation gives 0.0 μB/f.u. For the volume, the calculation gives 370.4 Å³ per cell. The value obtained for the mass density is 8.810 g/cm³. For the formation energy from the elements, the calculation gives 0.021 eV/atom.

Unit cell a=6.105 b=6.105 c=11.649 alpha=95.00 beta=95.00 gamma=119.96
Fractional positions:
Tb 0.000 0.000 0.000
Tb 0.333 0.667 0.000
Tb 0.667 0.333 0.000
Pm 0.500 0.500 0.500
Ho 0.167 0.833 0.500
Ho 0.833 0.167 0.500
Tm 0.082 0.416 0.250
Tm 0.250 0.250 0.750
Tm 0.416 0.082 0.250
Tm 0.584 0.918 0.750
Tm 0.750 0.750 0.250
Tm 0.918 0.584 0.750


Computed, not measured: crystalline Th2CdPb at its relaxed geometry at the PBE level of DFT.

The value obtained for the raw total energy is -5.03 eV per atom. For the size of the total moment, the calculation gives 0.0 μB/f.u. For the volume, the calculation gives 116.0 Å³ per cell. The value obtained for the mass density is 11.216 g/cm³. For the formation energy from the elements, the calculation gives -0.169 eV/atom.

Unit cell a=3.504 b=3.504 c=9.449 alpha=90.00 beta=90.00 gamma=90.00
Fractional positions:
Th 0.000 0.000 0.243
Th 0.000 0.000 0.757
Cd 0.500 0.500 0.000
Pb 0.500 0.500 0.500


Computed, not measured: crystalline Pm5YTe8 at its relaxed geometry at the PBE level of DFT.

The value obtained for the raw total energy is -5.35 eV per atom. For the size of the total moment, the calculation gives 0.0 μB/f.u. For the volume, the calculation gives 424.8 Å³ per cell. As for the formation energy from raw total energies: -1.393 eV/atom. The value obtained for the mass density is 7.172 g/cm³.

Unit cell a=8.202 b=8.202 c=8.202 alpha=109.72 beta=109.72 gamma=108.97
Fractional positions:
Pm 0.000 0.000 0.000
Pm 0.125 0.494 0.868
Pm 0.506 0.374 0.631
Pm 0.626 0.257 0.132
Pm 0.743 0.875 0.369
Y 0.250 0.750 0.500
Te 0.025 0.274 0.399
Te 0.227 0.119 0.747
Te 0.371 0.480 0.253
Te 0.374 0.975 0.249
Te 0.520 0.773 0.892
Te 0.726 0.125 0.751
Te 0.875 0.626 0.601
Te 0.881 0.629 0.108


Computed, not measured: crystalline ZrRe2Ru at its relaxed geometry at the PBE level of DFT.

For the polymorph energy (0 for the lowest one), the calculation gives 63 meV per atom. The value obtained for the raw total energy is -10.65 eV per atom. For the size of the total moment, the calculation gives 0.0 μB/f.u. For the volume, the calculation gives 65.0 Å³ per cell. The value obtained for the mass density is 14.428 g/cm³. For the formation energy from the elements, the calculation gives 0.034 eV/atom.

Unit cell a=5.328 b=5.328 c=5.328 alpha=144.71 beta=131.28 gamma=61.57
Fractional positions:
Zr 0.000 0.000 0.000
Re 0.247 0.747 0.500
Re 0.753 0.253 0.500
Ru 0.500 0.500 0.000


Question: What is the formula in the sixth record?
Answer: Th2CdPb